Entry from Alexandria via LeMat-Bulk: an optimized crystal structure of Sr2VMoO6 (GGA+U).

Unit cell a=4.024 b=4.024 c=7.937 alpha=90.00 beta=90.00 gamma=90.00
Space group P4/mmm (No. 123)
Unique sites:
Sr  0.000  0.000  0.229 (multiplicity 2)
V  0.500  0.500  0.000 (multiplicity 1)
Mo  0.500  0.500  0.500 (multiplicity 1)
O  0.000  0.500  0.000 (multiplicity 2)
O  0.000  0.500  0.500 (multiplicity 2)
O  0.500  0.500  0.238 (multiplicity 2)

Summary:
The energy above the most stable polymorph in this dataset comes out at 0.31 eV/f.u.